[1]
VASP calculation (PBE) on BaTlSe after structural relaxation.

Lattice parameters (Å, degrees): 4.6521 4.6521 10.0547 90.00 90.00 90.00
Space group P4/nmm (No. 129, origin choice 2)
One atom of each set of equivalent atoms:
Ba 0.2500 0.2500 0.1613 (multiplicity 2)
Tl 0.2500 0.7500 0.5000 (multiplicity 2)
Se 0.2500 0.2500 0.8310 (multiplicity 2)

The value obtained for the density of states at the Fermi level is 1.6 states/eV per cell. The calculation puts the uncorrected formation energy at -1159 meV/atom. For the magnetization, the calculation gives 0.00 μB/f.u. As for the total DFT energy (no corrections): -22.50 eV per cell.

=====

[2]
VASP calculation (PBE) on LiAs2Cl after structural relaxation.

Lattice parameters (Å, degrees): 3.3318 3.3318 9.3524 90.00 90.00 90.00
Space group P4mm (No. 99)
One atom of each set of equivalent atoms:
Li 0.0000 0.0000 0.0000 (multiplicity 1)
As 0.0000 0.0000 0.6331 (multiplicity 1)
As 0.5000 0.5000 0.4954 (multiplicity 1)
Cl 0.5000 0.5000 0.0108 (multiplicity 1)

The value obtained for the density of states at the Fermi level is 1.4 states/eV per cell. The calculation puts the uncorrected formation energy at -646 meV/atom. For the magnetization, the calculation gives 0.00 μB/f.u. As for the total DFT energy (no corrections): -15.64 eV per cell.

=====

[3]
VASP calculation (PBE) on Th12FeSb6 after structural relaxation.

Lattice parameters (Å, degrees): 13.1321 13.1321 12.3862 90.00 90.00 120.00
Space group R-3 (No. 148, hexagonal axes)
One atom of each set of equivalent atoms:
Th 0.0326 0.8430 0.3884 (multiplicity 18)
Th 0.0787 0.8893 0.8703 (multiplicity 18)
Fe 0.0000 0.0000 0.0000 (multiplicity 3)
Sb 0.0349 0.6167 0.2986 (multiplicity 18)

The value obtained for the density of states at the Fermi level is 63.3 states/eV per cell. The calculation puts the uncorrected formation energy at -349 meV/atom. For the magnetization, the calculation gives 0.00 μB/f.u. As for the total DFT energy (no corrections): -386.57 eV per cell.

=====

[4]
VASP calculation (PBE) on PrGe2OsRu after structural relaxation.

Lattice parameters (Å, degrees): 4.3032 4.3032 10.1612 90.00 90.00 90.00
Space group I-4m2 (No. 119)
One atom of each set of equivalent atoms:
Pr 0.0000 0.0000 0.0000 (multiplicity 2)
Ge 0.0000 0.0000 0.3681 (multiplicity 4)
Os 0.0000 0.5000 0.2500 (multiplicity 2)
Ru 0.0000 0.5000 0.7500 (multiplicity 2)

The calculated formation energy is -525 meV per atom. The value obtained for the density of states at the Fermi level is 4.5 states/eV per cell. For the magnetization, the calculation gives 0.00 μB/f.u. As for the total DFT energy (no corrections): -74.29 eV per cell.

=====

[5]
VASP calculation (PBE) on Ba3Bi3Rh2 after structural relaxation.

Lattice parameters (Å, degrees): 4.7886 12.7613 16.9313 90.00 90.00 90.00
Space group Cmcm (No. 63)
One atom of each set of equivalent atoms:
Ba 0.0000 0.0716 0.1059 (multiplicity 8)
Ba 0.0000 0.3569 0.2500 (multiplicity 4)
Bi 0.0000 0.3405 0.7500 (multiplicity 4)
Bi 0.0000 0.3447 0.0391 (multiplicity 8)
Rh 0.0000 0.2246 0.6026 (multiplicity 8)

The calculated formation energy is -589 meV per atom. The value obtained for the density of states at the Fermi level is 25.0 states/eV per cell. For the magnetization, the calculation gives 0.00 μB/f.u. As for the total DFT energy (no corrections): -147.30 eV per cell.

=====

[6]
VASP calculation (PBE) on YGeIO2 after structural relaxation.

Lattice parameters (Å, degrees): 4.1874 4.1874 5.3888 90.00 90.00 90.00
Space group P4/mmm (No. 123)
One atom of each set of equivalent atoms:
Y 0.0000 0.0000 0.0000 (multiplicity 1)
Ge 0.5000 0.5000 0.5000 (multiplicity 1)
I 0.5000 0.5000 0.0000 (multiplicity 1)
O 0.0000 0.5000 0.5000 (multiplicity 2)

The value obtained for the density of states at the Fermi level is 2.1 states/eV per cell. The calculation puts the uncorrected formation energy at -610 meV/atom. For the magnetization, the calculation gives 0.00 μB/f.u. As for the total DFT energy (no corrections): -25.60 eV per cell.